First-principles (PBE) data for a geometry-optimized Li2TeRu structure, as listed in the Alexandria database.

E_tot = -3.932 eV/atom
Crystal system = tetragonal

extended XYZ file:
```
16
Lattice="7.5606 0.0000 0.0000 0.0000 7.5606 0.0000 0.0000 0.0000 5.1539" Properties=species:S:1:pos:R:3 pbc="T T T"
Li 1.8173 1.8902 0.6442
Li 1.8902 5.5976 1.9327
Li 1.8902 5.7434 4.5096
Li 1.9631 1.8902 3.2212
Li 5.5976 5.6705 3.2212
Li 5.6705 1.8173 4.5096
Li 5.6705 1.9631 1.9327
Li 5.7434 5.6705 0.6442
Te 0.0000 0.0000 2.5769
Te 0.0000 3.7803 3.8654
Te 3.7803 0.0000 1.2885
Te 3.7803 3.7803 0.0000
Ru 0.0000 0.0000 0.0000
Ru 0.0000 3.7803 1.2885
Ru 3.7803 0.0000 3.8654
Ru 3.7803 3.7803 2.5769
```

=====

First-principles (PBE) data for a geometry-optimized Li2TeRu structure, as listed in the Alexandria database.

E_tot = -4.197 eV/atom
Crystal system = orthorhombic

extended XYZ file:
```
8
Lattice="3.8336 0.0000 0.0000 0.0000 3.8539 0.0000 0.0000 0.0000 8.6598" Properties=species:S:1:pos:R:3 pbc="T T T"
Li 0.0000 0.0000 2.1616
Li 0.0000 0.0000 6.4983
Li 1.9168 1.9270 2.1683
Li 1.9168 1.9270 6.4915
Te 0.0000 1.9270 0.0000
Te 1.9168 0.0000 4.3299
Ru 0.0000 1.9270 4.3299
Ru 1.9168 0.0000 0.0000
```

=====

First-principles (PBE) data for a geometry-optimized LiTe3Ru structure, as listed in the Alexandria database.

E_tot = -3.894 eV/atom
Crystal system = cubic

extended XYZ file:
```
5
Lattice="5.2831 0.0000 0.0000 0.0000 5.2831 0.0000 0.0000 0.0000 5.2831" Properties=species:S:1:pos:R:3 pbc="T T T"
Li 0.0000 0.0000 0.0000
Te 0.0000 2.6416 2.6416
Te 2.6416 0.0000 2.6416
Te 2.6416 2.6416 0.0000
Ru 2.6416 2.6416 2.6416
```

=====

First-principles (PBE) data for a geometry-optimized Li2TeRu structure, as listed in the Alexandria database.

E_tot = -4.223 eV/atom
Crystal system = tetragonal

extended XYZ file:
```
4
Lattice="3.9091 0.0000 0.0000 0.0000 3.9091 0.0000 0.0000 0.0000 4.1341" Properties=species:S:1:pos:R:3 pbc="T T T"
Li 0.0000 1.9546 0.0000
Li 1.9546 0.0000 0.0000
Te 0.0000 0.0000 2.0670
Ru 1.9546 1.9546 2.0670
```

=====

Among the records above, which one has the lowest E_tot?
number 4

=====

Number 1 is which compound?
Li2TeRu

=====

Look up the E_tot of the second one.
-4.197 eV/atom

=====

Number 1 is which compound?
Li2TeRu